Entry 1:
A plane-wave DFT calculation with GGA-PBE was carried out for crystalline Co2Pt2Rh at its relaxed geometry.

Cell and atoms, written as extended XYZ:
```
5
Lattice="-0.1505 3.0489 2.5314 -1.1258 -3.3823 1.7375 4.9499 -0.9246 1.4079" Properties=species:S:1:pos:R:3 pbc="T T T"
Co 2.1591 1.4962 3.1007
Pt 0.5966 -0.3973 2.4855
Rh 0.0000 0.0000 0.0000
Co 1.5145 -2.7542 2.5760
Pt 3.0770 -0.8607 3.1912
```

Computed properties:
SG = Cmmm, No. 65
Relative energy among the computed polymorphs = 199 meV/atom
Total magnetic moment = 5.507 μB/cell

Entry 2:
A plane-wave DFT calculation with GGA-PBE was carried out for crystalline LaHf3Te at its relaxed geometry.

Cell and atoms, written as extended XYZ:
```
5
Lattice="-2.3132 0.1309 4.6721 1.2178 -5.0160 0.7435 4.5125 1.4208 2.1944" Properties=species:S:1:pos:R:3 pbc="T T T"
Hf 0.6089 -2.5080 0.3718
Hf -1.1566 0.0655 2.3360
Te 1.7085 -1.7321 3.8050
La 0.0000 0.0000 0.0000
Hf 2.2562 0.7104 1.0972
```

Computed properties:
SG = Pm-3m, No. 221
Relative energy among the computed polymorphs = 915 meV/atom
Total magnetic moment = 0.000 μB/cell

Entry 3:
A plane-wave DFT calculation with GGA-PBE was carried out for crystalline Dy5HoEr at its relaxed geometry.

Cell and atoms, written as extended XYZ:
```
7
Lattice="-2.6807 -0.6290 -5.0424 -3.4750 -7.0514 -0.5459 -7.8298 0.2144 0.8629" Properties=species:S:1:pos:R:3 pbc="T T T"
Er 0.0000 0.0000 0.0000
Dy -4.8774 -2.2103 -3.6772
Ho -6.9928 -3.7330 -2.3627
Dy -9.1081 -5.2557 -1.0482
Dy -5.6524 -3.4185 0.1585
Dy -5.5886 -6.0759 -2.8170
Dy -8.3970 -1.3901 -1.9084
```

Computed properties:
SG = Immm, No. 71
Relative energy among the computed polymorphs = 915 meV/atom
Total magnetic moment = 0.000 μB/cell

Entry 4:
A plane-wave DFT calculation with GGA-PBE was carried out for crystalline Ca3Tl3Hg2 at its relaxed geometry.

Cell and atoms, written as extended XYZ:
```
8
Lattice="-3.8886 -0.1861 -0.3442 0.7681 -6.2746 -5.2849 -0.6447 -1.4751 8.0808" Properties=species:S:1:pos:R:3 pbc="T T T"
Hg 0.2971 -4.6748 -0.8296
Ca -1.8958 -3.1402 0.9272
Ca -2.3356 -0.9881 4.7313
Hg -0.1738 -3.0749 3.6256
Ca -1.4783 -3.9005 -3.3790
Tl 0.1821 -1.4874 -1.2528
Tl 0.0941 -5.9126 2.1331
Tl -0.1528 -0.3497 1.9156
```

Computed properties:
SG = P-62m, No. 189
Relative energy among the computed polymorphs = 0 meV/atom
Total magnetic moment = 0.000 μB/cell

Entry 5:
A plane-wave DFT calculation with GGA-PBE was carried out for crystalline SiHgPb3 at its relaxed geometry.

Cell and atoms, written as extended XYZ:
```
5
Lattice="5.6679 0.0000 0.0000 0.0000 5.6679 0.0000 0.0000 0.0000 5.6679" Properties=species:S:1:pos:R:3 pbc="T T T"
Si 2.8340 2.8340 2.8340
Pb 2.8340 0.0000 0.0000
Pb 0.0000 2.8340 0.0000
Pb 0.0000 0.0000 2.8340
Hg 0.0000 0.0000 0.0000
```

Computed properties:
SG = Pm-3m, No. 221
Relative energy among the computed polymorphs = 415 meV/atom
Total magnetic moment = 0.000 μB/cell

Entry 6:
A plane-wave DFT calculation with GGA-PBE was carried out for crystalline Dy2ErUAs4 at its relaxed geometry.

Cell and atoms, written as extended XYZ:
```
8
Lattice="4.0843 0.0000 0.0000 0.0000 7.0936 0.1396 0.0000 -2.4634 6.6566" Properties=species:S:1:pos:R:3 pbc="T T T"
Dy 2.0422 -1.2317 3.3283
As 0.0000 4.7232 1.7398
As 0.0000 -0.0929 5.0564
As 2.0422 1.1558 1.6796
U 0.0000 0.0000 0.0000
Er 2.0422 3.5468 0.0698
Dy 0.0000 2.3151 3.3981
As 2.0422 3.4744 5.1166
```

Computed properties:
VASP energy = -6.78 eV per atom
SG = P2/m, No. 10
Total magnetic moment = 2.313 μB/cell

Entry 7:
A plane-wave DFT calculation with GGA-PBE was carried out for crystalline TeRhSeO2 at its relaxed geometry.

Cell and atoms, written as extended XYZ:
```
5
Lattice="3.9143 0.0000 0.0000 0.0000 5.8374 0.0000 0.0000 0.0000 3.9143" Properties=species:S:1:pos:R:3 pbc="T T T"
Te 0.0000 0.0000 0.0000
Se 0.0000 2.9187 0.0000
O 1.9572 0.0000 0.0000
O 0.0000 0.0000 1.9572
Rh 1.9572 2.9187 1.9572
```

Computed properties:
VASP energy = -4.79 eV per atom
SG = P4/mmm, No. 123
Total magnetic moment = 1.115 μB/cell

Entry 8:
A plane-wave DFT calculation with GGA-PBE was carried out for crystalline TiFe2Mo at its relaxed geometry.

Cell and atoms, written as extended XYZ:
```
4
Lattice="2.9386 0.0000 0.0000 0.0000 4.2537 0.0000 0.0000 0.0000 4.2537" Properties=species:S:1:pos:R:3 pbc="T T T"
Fe 0.0000 2.1269 0.0000
Ti 1.4693 0.0000 0.0000
Fe 0.0000 0.0000 2.1269
Mo 1.4693 2.1269 2.1269
```

Computed properties:
VASP energy = -9.00 eV per atom
SG = P4/mmm, No. 123
Total magnetic moment = 1.825 μB/cell

Entry 9:
A plane-wave DFT calculation with GGA-PBE was carried out for crystalline CsK2CaPb at its relaxed geometry.

Cell and atoms, written as extended XYZ:
```
5
Lattice="7.0685 0.0000 0.0000 0.0000 7.0685 0.0000 0.0000 0.0000 6.2626" Properties=species:S:1:pos:R:3 pbc="T T T"
Cs 3.5342 3.5342 3.1313
Ca 0.0000 0.0000 3.1313
K 3.5342 0.0000 0.0000
K 0.0000 3.5342 0.0000
Pb 0.0000 0.0000 0.0000
```

Computed properties:
VASP energy = -1.80 eV per atom
SG = P4/mmm, No. 123
Total magnetic moment = 0.000 μB/cell

Entry 10:
A plane-wave DFT calculation with GGA-PBE was carried out for crystalline Y3As at its relaxed geometry.

Cell and atoms, written as extended XYZ:
```
8
Lattice="3.8265 0.0000 0.0000 0.0000 6.2036 0.0000 0.0000 0.0000 9.5190" Properties=species:S:1:pos:R:3 pbc="T T T"
Y 1.9133 4.6865 7.9808
Y 0.0000 3.1018 5.3941
Y 1.9133 1.5172 7.9808
Y 1.9133 0.0000 4.1249
As 0.0000 0.0000 6.2722
As 1.9133 3.1018 3.2469
Y 0.0000 4.6190 1.5383
Y 0.0000 1.5847 1.5383
```

Computed properties:
SG = Pmmn, No. 59
Relative energy among the computed polymorphs = 41 meV/atom
Total magnetic moment = 1.673 μB/cell

Entry 11:
A plane-wave DFT calculation with GGA-PBE was carried out for crystalline Na2MgHg at its relaxed geometry.

Cell and atoms, written as extended XYZ:
```
4
Lattice="3.8142 0.0000 0.0000 0.0000 3.8142 0.0000 0.0000 0.0000 7.4612" Properties=species:S:1:pos:R:3 pbc="T T T"
Na 0.0000 0.0000 5.7164
Na 0.0000 0.0000 1.7448
Mg 1.9071 1.9071 3.7306
Hg 1.9071 1.9071 0.0000
```

Computed properties:
VASP energy = -1.19 eV per atom
SG = P4/mmm, No. 123
Total magnetic moment = 0.000 μB/cell

Entry 12:
A plane-wave DFT calculation with GGA-PBE was carried out for crystalline PmBe2Ga2 at its relaxed geometry.

Cell and atoms, written as extended XYZ:
```
10
Lattice="-1.4656 2.4193 2.8605 -0.2929 -3.1362 2.5024 9.2031 1.7333 3.2493" Properties=species:S:1:pos:R:3 pbc="T T T"
Ga 7.2991 2.7224 4.2661
Ga 3.7223 0.5082 4.3062
Pm 6.8001 -0.2598 3.7038
Be -0.8792 -0.3585 2.6815
Be 0.0000 0.0000 0.0000
Ga 1.0247 -1.3475 1.6647
Pm 1.5238 1.6347 2.2270
Ga 4.6016 0.8667 1.6247
Be 3.1917 -0.9394 2.4298
Be 5.1322 2.3143 3.5010
```

Computed properties:
VASP energy = -4.03 eV per atom
SG = P4/nmm, No. 129
Total magnetic moment = 0.000 μB/cell